(1)
# MnOsO2 PBE+U relaxed
# Electronic total energy = -96.4 eV for the cell shown
# Offset from the most stable computed form = 0 meV per atom
data_MnOsO2
_cell_length_a 2.9214
_cell_length_b 2.9214
_cell_length_c 19.0409
_cell_angle_alpha 90.00
_cell_angle_beta 90.00
_cell_angle_gamma 120.00
_symmetry_space_group_name_H-M 'R -3 m'
_symmetry_Int_Tables_number 166
_symmetry_space_group_name_Hall '-R 3 2"'
loop_
_atom_site_label
_atom_site_fract_x
_atom_site_fract_y
_atom_site_fract_z
Mn1 0.0000 0.0000 0.0000
Os1 0.0000 0.0000 0.5000
O1 0.0000 0.0000 0.3985

=====

(2)
# Mn3OsO PBE+U relaxed
# Electronic total energy = -38.1 eV for the cell shown
data_Mn3OsO
_cell_length_a 4.187
_cell_length_b 4.187
_cell_length_c 4.187
_cell_angle_alpha 90.00
_cell_angle_beta 90.00
_cell_angle_gamma 90.00
_symmetry_space_group_name_H-M 'P m -3 m'
_symmetry_Int_Tables_number 221
_symmetry_space_group_name_Hall '-P 4 2 3'
loop_
_atom_site_label
_atom_site_fract_x
_atom_site_fract_y
_atom_site_fract_z
Mn1 0.000 0.000 0.500
Os1 0.500 0.500 0.500
O1 0.000 0.000 0.000

=====

Number 1: V 11.73 A^3/atom, mass density 9.81 g cm⁻³, DOS(E_F) 2.24 states/eV/f.u.. Number 2: V 14.68 A^3/atom, mass density 8.39 g cm⁻³, DOS(E_F) 4.46 states/eV/f.u..